Computed, not measured: crystalline LaPm12Tm2 at its relaxed geometry at the PBE level of DFT.

Values from the calculation:
* formation energy: 10.1 kJ/mol of atoms
* spin magnetization: 0.00 μB per formula unit

Cell lengths 7.222, 11.446, 24.921 Å; angles 90.00, 94.07, 90.00 degrees
Space group C2/m (No. 12)
Inequivalent atoms, fractional coordinates:
La 0.248 0.000 0.008 x4
Pm 0.018 0.252 0.074 x8
Pm 0.115 0.233 0.445 x8
Pm 0.116 0.500 0.574 x4
Pm 0.153 0.000 0.586 x4
Pm 0.168 0.266 0.671 x8
Pm 0.197 0.234 0.797 x8
Pm 0.214 0.500 0.851 x4
Pm 0.215 0.000 0.870 x4
Tm 0.060 0.000 0.275 x4
Tm 0.078 0.500 0.273 x4